Entry 1:
Computed, not measured: a geometry-optimized Y3Er2In4 structure at the PBE level of DFT.

Geometry as POSCAR:
```
Y3Er2In4
1.0
-5.460 2.000 -3.905
-6.107 -3.988 6.497
2.440 5.679 5.779
Y Er In
6 4 8
Direct
0.000 0.000 0.000
0.500 0.500 0.000
0.532 0.750 0.564
0.968 0.250 0.436
0.468 0.250 0.436
0.032 0.750 0.564
0.106 0.541 0.212
0.894 0.459 0.788
0.394 0.041 0.788
0.606 0.959 0.212
0.741 0.750 0.982
0.759 0.250 0.018
0.259 0.250 0.018
0.241 0.750 0.982
0.196 0.979 0.393
0.804 0.021 0.607
0.304 0.479 0.607
0.696 0.521 0.393
```

## Properties
Symmetry = No. 64
Total DFT energy (no corrections) = -41.7 eV/f.u.
ΔE_f = -220 kJ/mol of formula units

***

Entry 2:
Computed, not measured: a geometry-optimized MgNbAg structure at the PBE level of DFT.

Geometry as POSCAR:
```
MgNbAg
1.0
-0.890 0.041 3.367
3.011 -1.548 0.815
4.080 8.452 0.976
Mg Nb Ag
2 2 2
Direct
0.113 0.566 0.512
0.613 0.066 0.028
0.613 0.066 0.708
0.113 0.566 0.833
0.113 0.566 0.182
0.613 0.066 0.358
```

## Properties
Symmetry = No. 129
Total DFT energy (no corrections) = -14.3 eV/f.u.
ΔE_f = 17 kJ/mol of formula units